MgH2Pd4, optimized geometry, DFT PBE-GGA; E above lowest polymorph = 0.51 kcal/mol of atoms
1.0
-1.651 -0.402 4.721
0.755 -6.786 2.353
3.788 0.879 4.066
Mg H Pd
2 4 8
Cartesian
1.189 -3.217 6.306
3.047 -6.271 10.698
0.682 -4.893 4.843
2.403 -1.368 5.745
1.829 -5.006 9.231
0.434 -1.455 3.712
2.195 -1.581 3.939
0.908 -0.483 6.198
1.952 -4.422 3.613
-0.501 -2.926 4.166
3.853 -3.271 5.660
1.620 -5.914 5.984
0.141 -1.366 1.909
3.179 -4.839 8.008